No. 1
Density functional theory data (GGA-PBE) for a relaxed Ba2MoAuC crystal.

abc: 6.0446 6.0446 3.9478
angles: 90.00 90.00 90.00
Space group P4/mmm (No. 123)
Inequivalent atoms, fractional coordinates:
Ba 0.0000 0.5000 0.0000
Mo 0.0000 0.0000 0.5000
Au 0.5000 0.5000 0.5000
C 0.5000 0.5000 0.0000

Output
VASP energy: -22.89 eV/cell
energy of formation from the pure elements: 858 meV/atom
calculated volume: 144 Å³/cell


No. 2
Density functional theory data (GGA-PBE) for a relaxed BeAsN2F crystal.

abc: 3.7645 3.7645 3.8074
angles: 90.00 90.00 90.00
Space group P4/mmm (No. 123)
Inequivalent atoms, fractional coordinates:
Be 0.0000 0.0000 0.0000
As 0.5000 0.5000 0.5000
N 0.0000 0.5000 0.5000
F 0.5000 0.5000 0.0000

Output
VASP energy: -22.85 eV/cell
formation energy from raw total energies: 810 meV/atom
calculated volume: 54 Å³/cell
offset from the most stable computed form: 465 meV/atom


No. 3
Density functional theory data (GGA-PBE) for a relaxed LaTmLuAg crystal.

abc: 7.6718 7.6718 7.6718
angles: 90.00 90.00 90.00
Space group F-43m (No. 216)
Inequivalent atoms, fractional coordinates:
La 0.0000 0.0000 0.0000
Tm 0.0000 0.0000 0.5000
Lu 0.2500 0.2500 0.2500
Ag 0.2500 0.2500 0.7500

Output
VASP energy: -66.26 eV/cell
energy of formation from the pure elements: 52 meV/atom
calculated volume: 452 Å³/cell


No. 4
Density functional theory data (GGA-PBE) for a relaxed HfBe2Ru2 crystal.

abc: 3.8572 3.8572 9.2590
angles: 90.00 90.00 90.00
Space group I4/mmm (No. 139)
Inequivalent atoms, fractional coordinates:
Hf 0.0000 0.0000 0.0000
Be 0.0000 0.5000 0.2500
Ru 0.0000 0.0000 0.3701

Output
VASP energy: -73.41 eV/cell
energy of formation from the pure elements: -150 meV/atom
calculated volume: 138 Å³/cell
offset from the most stable computed form: 365 meV/atom